CdGaO3 PBE-GGA relaxed; uncorrected energy = -4.8268 eV per atom; space group = R-3c (167); crystal system = trigonal
1.0
3.409 -1.487 -3.793
5.016 1.728 0.277
3.817 -3.480 1.241
O Cd Ga
6 2 2
direct
0.250 0.653 0.847
0.347 0.153 0.750
0.750 0.347 0.153
0.847 0.250 0.653
0.153 0.750 0.347
0.653 0.847 0.250
0.750 0.750 0.750
0.250 0.250 0.250
0.500 0.500 0.500
0.000 0.000 0.000